Entry 1:
Sr3IrI | PBE | relaxed

Cell lengths 5.8835, 5.8835, 5.8835 Å; angles 90.00, 90.00, 90.00 degrees
Sites, in units of the cell vectors:
I (0.5000, 0.5000, 0.5000)
Sr (0.0000, 0.5000, 0.0000)
Sr (0.0000, 0.0000, 0.5000)
Sr (0.5000, 0.0000, 0.0000)
Ir (0.0000, 0.0000, 0.0000)

Results
ρ (Mg/m³): 4.7
E_form (uncorrected) (eV/atom): -0.442
Calculated volume (Å³/atom): 40.7
Energy above the most stable polymorph in this dataset (kcal/mol of atoms): 3.620

=====

Entry 2:
NdPaPt2 | PBE | relaxed

Cell lengths 3.5721, 3.5721, 7.2241 Å; angles 90.00, 90.00, 90.00 degrees
Sites, in units of the cell vectors:
Pa (0.5000, 0.5000, 0.0000)
Nd (0.5000, 0.5000, 0.5000)
Pt (0.0000, 0.0000, 0.7868)
Pt (0.0000, 0.0000, 0.2132)

Results
Electronic total energy (eV per formula unit): -30.00
ρ (Mg/m³): 13.8
Calculated volume (Å³/atom): 23.0

=====

Entry 3:
Ca3AsIr | PBE | relaxed

Cell lengths 5.3276, 5.3276, 5.3276 Å; angles 90.00, 90.00, 90.00 degrees
Sites, in units of the cell vectors:
As (0.5000, 0.5000, 0.5000)
Ir (0.0000, 0.0000, 0.0000)
Ca (0.0000, 0.5000, 0.0000)
Ca (0.0000, 0.0000, 0.5000)
Ca (0.5000, 0.0000, 0.0000)

Results
ρ (Mg/m³): 4.3
Calculated volume (Å³/atom): 30.2
Energy above the most stable polymorph in this dataset (kcal/mol of atoms): 0.000

=====

Entry 4:
Pm3AlSi2Rh9 | PBE | relaxed

Cell lengths 6.3682, 6.3682, 7.8362 Å; angles 90.00, 90.00, 120.00 degrees
Sites, in units of the cell vectors:
Pm (0.3333, 0.6667, 0.6622)
Pm (0.0000, 0.0000, 0.0000)
Pm (0.6667, 0.3333, 0.3378)
Al (0.0000, 0.0000, 0.5000)
Si (0.3333, 0.6667, 0.1643)
Si (0.6667, 0.3333, 0.8357)
Rh (0.8311, 0.1689, 0.6713)
Rh (0.8311, 0.6622, 0.6713)
Rh (0.3378, 0.1689, 0.6713)
Rh (0.6622, 0.8311, 0.3287)
Rh (0.1689, 0.3378, 0.3287)
Rh (0.1689, 0.8311, 0.3287)
Rh (0.5000, 0.0000, 0.0000)
Rh (0.0000, 0.5000, 0.0000)
Rh (0.5000, 0.5000, 0.0000)

Results
ρ (Mg/m³): 8.7
E_form (uncorrected) (eV/atom): -0.586
Calculated volume (Å³/atom): 18.3

=====

Entry 5:
BaAcSnGe | PBE | relaxed

Cell lengths 5.0319, 4.4515, 6.6848 Å; angles 90.00, 112.11, 90.00 degrees
Sites, in units of the cell vectors:
Ba (0.1405, 0.0000, 0.2809)
Ac (0.8590, 0.5000, 0.7181)
Sn (0.4274, 0.0000, 0.8548)
Ge (0.5731, 0.5000, 0.1462)

Results
ρ (Mg/m³): 6.7
Calculated volume (Å³/atom): 34.7
Energy above the most stable polymorph in this dataset (kcal/mol of atoms): 0.000

=====

Entry 6:
Pm2YScS6 | PBE | relaxed

Cell lengths 6.9312, 6.9311, 7.2811 Å; angles 61.58, 61.58, 60.00 degrees
Sites, in units of the cell vectors:
Pm (0.5239, 0.5239, 0.4283)
Pm (0.0219, 0.0219, 0.9342)
Y (0.8165, 0.8166, 0.5504)
Sc (0.3194, 0.3192, 0.0420)
S (0.5921, 0.2013, 0.2555)
S (0.2012, 0.9510, 0.2555)
S (0.9511, 0.5922, 0.2555)
S (0.4343, 0.6914, 0.7645)
S (0.6914, 0.1097, 0.7645)
S (0.1096, 0.4344, 0.7646)

Results
ρ (Mg/m³): 4.0
E_form (uncorrected) (eV/atom): -1.991
Calculated volume (Å³/atom): 25.3

=====

Entry 7:
Ca5TcN6 | PBE | relaxed

Cell lengths 5.8344, 5.8695, 5.8678 Å; angles 59.99, 80.22, 70.16 degrees
Sites, in units of the cell vectors:
Ca (0.5000, 0.1649, 0.6703)
Ca (0.0000, 0.3331, 0.3338)
Ca (0.5000, 0.5000, 0.0000)
Ca (0.0000, 0.6669, 0.6662)
Ca (0.5000, 0.8351, 0.3297)
Tc (0.0000, 0.0000, 0.0000)
N (0.7765, 0.0744, 0.2897)
N (0.2235, 0.6359, 0.2897)
N (0.2169, 0.2141, 0.0000)
N (0.7831, 0.7859, 0.0000)
N (0.7765, 0.3641, 0.7103)
N (0.2235, 0.9256, 0.7103)

Results
ρ (Mg/m³): 3.9
E_form (uncorrected) (eV/atom): -0.584
Calculated volume (Å³/atom): 13.6

=====

Entry 8:
SrPb5Se6 | PBE | relaxed

Cell lengths 7.6265, 7.6287, 7.6276 Å; angles 60.00, 80.41, 70.54 degrees
Sites, in units of the cell vectors:
Sr (0.0000, 0.0000, 0.0000)
Pb (0.5000, 0.1662, 0.6676)
Pb (0.0000, 0.3332, 0.3335)
Pb (0.5000, 0.5000, 0.0000)
Pb (0.0000, 0.6668, 0.6665)
Pb (0.5000, 0.8338, 0.3324)
Se (0.7500, 0.0832, 0.3343)
Se (0.2500, 0.5825, 0.3343)
Se (0.2500, 0.2508, 0.0000)
Se (0.7500, 0.7492, 0.0000)
Se (0.7500, 0.4175, 0.6657)
Se (0.2500, 0.9168, 0.6657)

Results
ρ (Mg/m³): 7.3
E_form (uncorrected) (eV/atom): -0.814
Calculated volume (Å³/atom): 30.2